(1)
Here is LaPr8Nd2 after structural relaxation from Alexandria via LeMat-Bulk. Energies are from PBE-GGA.

Unit cell a=9.8144 b=9.8144 c=8.3093 alpha=104.66 beta=104.66 gamma=31.05
Atoms (fractional coordinates):
La 0.0000 0.0000 0.0000
Pr 0.0914 0.0914 0.4561
Pr 0.1819 0.1819 0.9088
Pr 0.3630 0.3630 0.8167
Pr 0.4543 0.4543 0.2727
Pr 0.5457 0.5457 0.7273
Pr 0.6370 0.6370 0.1833
Pr 0.8181 0.8181 0.0912
Pr 0.9086 0.9086 0.5439
Nd 0.2721 0.2721 0.3636
Nd 0.7279 0.7279 0.6364

Results
The energy above the most stable polymorph in this dataset comes out at 0.0000 eV per atom. For the volume, the calculation gives 398 Å³/cell.



(2)
Here is HfCu after structural relaxation from Alexandria via LeMat-Bulk. Energies are from PBE-GGA.

Unit cell a=9.7094 b=9.7094 c=3.1245 alpha=90.00 beta=90.00 gamma=90.00
Atoms (fractional coordinates):
Hf 0.0000 0.2608 0.0000
Hf 0.0000 0.7392 0.0000
Hf 0.1561 0.5000 0.5000
Hf 0.2608 0.0000 0.0000
Hf 0.5000 0.1561 0.5000
Hf 0.5000 0.8439 0.5000
Hf 0.7392 0.0000 0.0000
Hf 0.8439 0.5000 0.5000
Cu 0.2253 0.2253 0.5000
Cu 0.2253 0.7747 0.5000
Cu 0.3716 0.3716 0.0000
Cu 0.3716 0.6284 0.0000
Cu 0.6284 0.3716 0.0000
Cu 0.6284 0.6284 0.0000
Cu 0.7747 0.2253 0.5000
Cu 0.7747 0.7747 0.5000

Results
The calculation puts the total energy at -0.253 Ha/atom. For the volume, the calculation gives 295 Å³/cell.



(3)
Here is Pu2MgOs after structural relaxation from Alexandria via LeMat-Bulk. Energies are from PBE-GGA.

Unit cell a=4.9855 b=4.9855 c=8.1917 alpha=90.00 beta=90.00 gamma=120.00
Atoms (fractional coordinates):
Pu 0.3333 0.6667 0.0762
Pu 0.3333 0.6667 0.4238
Pu 0.6667 0.3333 0.5762
Pu 0.6667 0.3333 0.9238
Mg 0.0000 0.0000 0.2500
Mg 0.0000 0.0000 0.7500
Os 0.3333 0.6667 0.7500
Os 0.6667 0.3333 0.2500

Results
The calculation puts the total energy at -0.380 Ha/atom. For the volume, the calculation gives 176 Å³/cell.



(4)
Here is Nd3Sm2Hg4 after structural relaxation from Alexandria via LeMat-Bulk. Energies are from PBE-GGA.

Unit cell a=10.0484 b=10.0484 c=8.2491 alpha=90.00 beta=90.00 gamma=139.18
Atoms (fractional coordinates):
Nd 0.0000 0.0000 0.0000
Nd 0.0105 0.4895 0.2500
Nd 0.4895 0.0105 0.7500
Nd 0.5000 0.5000 0.5000
Nd 0.5105 0.9895 0.2500
Nd 0.9895 0.5105 0.7500
Sm 0.0942 0.9058 0.4150
Sm 0.4058 0.5942 0.9150
Sm 0.5942 0.4058 0.0850
Sm 0.9058 0.0942 0.5850
Hg 0.1622 0.8378 0.0344
Hg 0.1799 0.3201 0.2500
Hg 0.3201 0.1799 0.7500
Hg 0.3378 0.6622 0.5344
Hg 0.6622 0.3378 0.4656
Hg 0.6799 0.8201 0.2500
Hg 0.8201 0.6799 0.7500
Hg 0.8378 0.1622 0.9656

Results
The calculation puts the total energy at -0.113 Ha/atom. For the volume, the calculation gives 544 Å³/cell.



(5)
Here is YCu2Re after structural relaxation from Alexandria via LeMat-Bulk. Energies are from PBE-GGA.

Unit cell a=2.9315 b=3.7469 c=5.9936 alpha=90.00 beta=90.53 gamma=90.00
Atoms (fractional coordinates):
Y 0.0000 0.0000 0.0000
Cu 0.4992 0.5000 0.2963
Cu 0.5008 0.5000 0.7037
Re 0.0000 0.0000 0.5000

Results
The energy above the most stable polymorph in this dataset comes out at 0.0000 eV per atom. For the volume, the calculation gives 66 Å³/cell.



(6)
Here is Pm4Cd3In after structural relaxation from Alexandria via LeMat-Bulk. Energies are from PBE-GGA.

Unit cell a=9.4142 b=9.4142 c=9.4142 alpha=33.49 beta=33.49 gamma=33.49
Atoms (fractional coordinates):
Pm 0.1247 0.1247 0.1247
Pm 0.3747 0.3747 0.3747
Pm 0.6253 0.6253 0.6253
Pm 0.8753 0.8753 0.8753
Cd 0.0000 0.0000 0.0000
Cd 0.2508 0.2508 0.2508
Cd 0.7492 0.7492 0.7492
In 0.5000 0.5000 0.5000

Results
The energy above the most stable polymorph in this dataset comes out at 0.0000 eV per atom. For the volume, the calculation gives 226 Å³/cell.



(7)
Here is ErTmOsRu after structural relaxation from Alexandria via LeMat-Bulk. Energies are from PBE-GGA.

Unit cell a=4.7622 b=4.7622 c=4.7622 alpha=60.00 beta=60.00 gamma=60.00
Atoms (fractional coordinates):
Er 0.0000 0.0000 0.0000
Tm 0.5000 0.5000 0.5000
Os 0.2500 0.2500 0.2500
Ru 0.7500 0.7500 0.7500

Results
The calculation puts the total energy at -0.281 Ha/atom. For the volume, the calculation gives 76 Å³/cell.



(8)
Here is RbNb2BRh after structural relaxation from Alexandria via LeMat-Bulk. Energies are from PBE-GGA.

Unit cell a=4.3668 b=4.3668 c=5.4025 alpha=90.00 beta=90.00 gamma=90.00
Atoms (fractional coordinates):
Rb 0.0000 0.0000 0.0000
Nb 0.0000 0.5000 0.5000
Nb 0.5000 0.0000 0.5000
B 0.0000 0.0000 0.5000
Rh 0.5000 0.5000 0.0000

Results
The calculation puts the total energy at -0.214 Ha/atom. For the volume, the calculation gives 103 Å³/cell.



(9)
Here is La2CoH6Rh after structural relaxation from Alexandria via LeMat-Bulk. Energies are from PBE-GGA.

Unit cell a=5.1558 b=5.1558 c=5.3499 alpha=119.32 beta=119.32 gamma=88.88
Atoms (fractional coordinates):
La 0.2500 0.7500 0.0000
La 0.7500 0.2500 0.0000
Co 0.0000 0.0000 0.5000
H 0.2143 0.2143 0.9280
H 0.2360 0.2360 0.4996
H 0.2403 0.7597 0.5000
H 0.7597 0.2403 0.5000
H 0.7640 0.7640 0.5004
H 0.7857 0.7857 0.0720
Rh 0.5000 0.5000 0.5000

Results
The calculation puts the total energy at -0.182 Ha/atom. For the volume, the calculation gives 103 Å³/cell.



(10)
Here is Ba2ZrBr after structural relaxation from Alexandria via LeMat-Bulk. Energies are from PBE-GGA.

Unit cell a=7.3819 b=7.3819 c=7.3819 alpha=151.08 beta=132.30 gamma=56.75
Atoms (fractional coordinates):
Ba 0.0000 0.0000 0.0000
Ba 0.6972 0.1972 0.5000
Zr 0.4251 0.4251 0.0000
Br 0.2432 0.7432 0.5000

Results
The energy above the most stable polymorph in this dataset comes out at 0.1774 eV per atom. For the volume, the calculation gives 143 Å³/cell. The uncorrected formation energy is -121 meV per atom.



(11)
Here is Pm4Y2Th after structural relaxation from Alexandria via LeMat-Bulk. Energies are from PBE-GGA.

Unit cell a=3.6332 b=3.6332 c=20.6765 alpha=95.12 beta=95.12 gamma=60.03
Atoms (fractional coordinates):
Pm 0.0000 0.0000 0.0000
Pm 0.0900 0.0900 0.2820
Pm 0.5202 0.5202 0.5671
Pm 0.6151 0.6151 0.8525
Y 0.7089 0.7089 0.1404
Y 0.8019 0.8019 0.4241
Th 0.9024 0.9024 0.7103

Results
The energy above the most stable polymorph in this dataset comes out at 0.0000 eV per atom. For the volume, the calculation gives 235 Å³/cell.



(12)
Here is LaZnAs2Se after structural relaxation from Alexandria via LeMat-Bulk. Energies are from PBE-GGA.

Unit cell a=5.8342 b=5.8342 c=5.6814 alpha=90.00 beta=90.00 gamma=90.00
Atoms (fractional coordinates):
La 0.0000 0.0000 0.0000
Zn 0.5000 0.5000 0.5000
As 0.0000 0.5000 0.0000
As 0.5000 0.0000 0.0000
Se 0.0000 0.0000 0.5000

Results
The energy above the most stable polymorph in this dataset comes out at 0.8064 eV per atom. For the volume, the calculation gives 193 Å³/cell. The uncorrected formation energy is 416 meV per atom.



> Which formula does entry 2 have?

HfCu